No. 1
First-principles (PBE) data for LaCe2Sm3Ho6 after structural relaxation, as listed in Alexandria via LeMat-Bulk.

Geometry as extended XYZ:
```
12
Lattice="3.0916 -5.3561 0.0000 3.0916 5.3561 0.0000 -2.0613 0.0000 11.5523" Properties=species:S:1:pos:R:3 pbc="T T T"
La 0.0000 0.0000 0.0000
Ce 3.0916 1.7860 0.0000
Ce 3.0916 -1.7860 0.0000
Sm 2.0609 3.5742 5.7762
Sm 2.0609 0.0000 5.7762
Sm 2.0609 -3.5742 5.7762
Ho 1.0425 1.8024 2.8711
Ho 0.0177 0.0000 8.6816
Ho 1.0425 -1.8024 2.8711
Ho 3.0794 1.8024 8.6813
Ho 4.1042 0.0000 2.8707
Ho 3.0794 -1.8024 8.6813
```

Summary:
- space-group type = No. 12
- DFT formation energy (meV/atom) = 46
- electronic total energy (eV/atom) = -4.822

---

No. 2
First-principles (PBE) data for Sn2GeI6 after structural relaxation, as listed in Alexandria via LeMat-Bulk.

Geometry as extended XYZ:
```
9
Lattice="7.7721 0.0000 0.0000 -3.8861 6.7309 0.0000 0.0000 0.0000 7.6477" Properties=species:S:1:pos:R:3 pbc="T T T"
Sn 0.0000 4.4872 0.0000
Sn 3.8861 2.2436 0.0000
Ge 0.0000 0.0000 0.0000
I -1.2298 2.1300 1.8058
I -2.6563 4.6009 5.8419
I 2.4595 0.0000 1.8058
I 1.2298 2.1300 5.8419
I 5.3126 0.0000 5.8419
I 2.6563 4.6009 1.8058
```

Summary:
- space-group type = No. 162
- electronic total energy (eV/atom) = -2.881
- formation energy (no corrections) (eV per atom) = -0.45

---

No. 3
First-principles (PBE) data for USnPtAu after structural relaxation, as listed in Alexandria via LeMat-Bulk.

Geometry as extended XYZ:
```
4
Lattice="0.0000 3.4751 3.4751 3.4751 0.0000 3.4751 3.4751 3.4751 0.0000" Properties=species:S:1:pos:R:3 pbc="T T T"
U 0.0000 0.0000 0.0000
Sn 3.4751 3.4751 3.4751
Pt 5.2126 5.2126 5.2126
Au 1.7375 1.7375 1.7375
```

Summary:
- space-group type = No. 216
- DFT formation energy (meV/atom) = -391
- electronic total energy (eV/atom) = -6.543

---

No. 4
First-principles (PBE) data for Ti2S2O after structural relaxation, as listed in Alexandria via LeMat-Bulk.

Geometry as extended XYZ:
```
10
Lattice="1.5556 -5.4648 0.0000 1.5556 5.4648 0.0000 0.0000 0.0000 8.4982" Properties=species:S:1:pos:R:3 pbc="T T T"
Ti 1.5556 5.2681 4.2491
Ti 1.5556 3.1122 5.8755
Ti 1.5556 -3.1122 1.6264
Ti 1.5556 -5.2681 0.0000
S 1.5556 4.2484 2.0370
S 1.5556 1.6899 3.5657
S 1.5556 -1.6899 7.8148
S 1.5556 -4.2484 6.2861
O 1.5556 1.2532 0.7105
O 1.5556 -1.2532 4.9596
```

Summary:
- polymorph energy (0 for the lowest one) (meV/atom) = 7
- space-group type = No. 36
- electronic total energy (eV/atom) = -7.536
- formation energy (no corrections) (eV per atom) = -1.74

---

No. 5
First-principles (PBE) data for NdDy4Cd after structural relaxation, as listed in Alexandria via LeMat-Bulk.

Geometry as extended XYZ:
```
6
Lattice="3.5933 0.0000 0.0000 0.0000 3.5933 0.0000 0.0000 0.0000 14.1341" Properties=species:S:1:pos:R:3 pbc="T T T"
Nd 0.0000 0.0000 0.0000
Dy 0.0000 0.0000 5.0182
Dy 0.0000 0.0000 9.1159
Dy 1.7967 1.7967 2.5461
Dy 1.7967 1.7967 11.5880
Cd 1.7967 1.7967 7.0670
```

Summary:
- polymorph energy (0 for the lowest one) (meV/atom) = 0
- space-group type = No. 123
- DFT formation energy (meV/atom) = -88
- electronic total energy (eV/atom) = -4.103

---

No. 6
First-principles (PBE) data for Dy2ErCdN after structural relaxation, as listed in Alexandria via LeMat-Bulk.

Geometry as extended XYZ:
```
5
Lattice="4.8319 0.0000 0.0000 0.0000 4.8319 0.0000 0.0000 0.0000 4.7654" Properties=species:S:1:pos:R:3 pbc="T T T"
Dy 0.0000 2.4159 0.0000
Dy 2.4159 0.0000 0.0000
Er 0.0000 0.0000 2.3827
Cd 2.4159 2.4159 2.3827
N 0.0000 0.0000 0.0000
```

Summary:
- space-group type = No. 123
- electronic total energy (eV/atom) = -5.459
- formation energy (no corrections) (eV per atom) = -0.86

---

No. 7
First-principles (PBE) data for MgPd2AuN after structural relaxation, as listed in Alexandria via LeMat-Bulk.

Geometry as extended XYZ:
```
5
Lattice="4.2092 0.0000 0.0000 0.0000 4.2092 0.0000 0.0000 0.0000 4.1329" Properties=species:S:1:pos:R:3 pbc="T T T"
Mg 0.0000 0.0000 0.0000
Pd 0.0000 2.1046 2.0664
Pd 2.1046 0.0000 2.0664
Au 2.1046 2.1046 0.0000
N 0.0000 0.0000 2.0664
```

Summary:
- space-group type = No. 123
- electronic total energy (eV/atom) = -4.863
- formation energy (no corrections) (eV per atom) = -0.15

---

No. 8
First-principles (PBE) data for CsYSi after structural relaxation, as listed in Alexandria via LeMat-Bulk.

Geometry as extended XYZ:
```
6
Lattice="4.0124 -2.3171 0.0000 4.0124 2.3171 0.0000 -0.1321 0.0000 14.7099" Properties=species:S:1:pos:R:3 pbc="T T T"
Cs 0.0000 0.0000 0.0000
Cs 5.2159 0.0000 4.8644
Y 2.5447 0.0000 10.9800
Y 5.2193 0.0000 8.4951
Si 7.8942 0.0000 7.4410
Si 7.8943 0.0000 9.8864
```

Summary:
- polymorph energy (0 for the lowest one) (meV/atom) = 28
- space-group type = No. 8
- electronic total energy (eV/atom) = -4.344
- formation energy (no corrections) (eV per atom) = -0.10

---

> What is the electronic total energy in the first record?

-4.822 eV/atom

---

> Which value of electronic total energy does entry 3 give?

-6.543 eV/atom

---

> Number 4 is which compound?

Ti2S2O